Below is a relaxed structure of CrPdW2, with properties calculated at the PBE level.

Values from the calculation:
The crystal system is cubic. For the magnetic moment, the calculation gives 0.00 μB per cell. For the distance to the lowest polymorph of the same formula, the calculation gives 0.0 meV/atom. The value obtained for the formation energy is 160 kJ/mol of formula units. The calculation puts the mass density at 14.58 g/cm³. The value obtained for the density of states at the Fermi level is 2.3 states/eV/f.u.

Cell: 4.3919 4.3919 4.3919 Å, 60.00 60.00 60.00°
Last column: nearest neighbours and their distance in Å.
Fractional positions:
Cr 0.0000 0.0000 0.0000  8 W 2.69
Pd 0.5000 0.5000 0.5000  8 W 2.69
W 0.2500 0.2500 0.2500  4 Pd 2.69, 4 Cr 2.69
W 0.7500 0.7500 0.7500  4 Cr 2.69, 4 Pd 2.69

***

Below is a relaxed structure of NdScCoPt, with properties calculated at the PBE level.

Values from the calculation:
The crystal system is cubic. For the magnetic moment, the calculation gives 0.01 μB per cell. The value obtained for the formation energy is -209 kJ/mol of formula units. The calculation puts the mass density at 9.40 g/cm³. The value obtained for the density of states at the Fermi level is 2.2 states/eV/f.u.

Cell: 4.8015 4.8015 4.8015 Å, 60.00 60.00 60.00°
Last column: nearest neighbours and their distance in Å.
Fractional positions:
Sc 0.0000 0.0000 0.0000  4 Co 2.94, 4 Pt 2.94
Co 0.2500 0.2500 0.2500  4 Nd 2.94, 4 Sc 2.94
Nd 0.5000 0.5000 0.5000  4 Pt 2.94, 4 Co 2.94
Pt 0.7500 0.7500 0.7500  4 Nd 2.94, 4 Sc 2.94

***

Below is a relaxed structure of NiOsPb, with properties calculated at the PBE level.

Values from the calculation:
The crystal system is hexagonal. For the magnetic moment, the calculation gives 0.00 μB per cell. For the distance to the lowest polymorph of the same formula, the calculation gives 41.4 meV/atom. The value obtained for the formation energy is 227 kJ/mol of formula units. The calculation puts the mass density at 14.52 g/cm³. The value obtained for the density of states at the Fermi level is 3.1 states/eV/f.u.

Cell: 4.1950 4.1950 3.4216 Å, 90.00 90.00 120.00°
Last column: nearest neighbours and their distance in Å.
Fractional positions:
Ni 0.0000 0.0000 0.1665  3 Os 2.42
Os 0.6667 0.3333 0.1668  3 Ni 2.42
Pb 0.3333 0.6667 0.6667  6 Ni 2.96-2.97, 6 Os 2.97

***

Below is a relaxed structure of NaCeZnF6, with properties calculated at the PBE level.

Values from the calculation:
The crystal system is trigonal. For the magnetic moment, the calculation gives 2.00 μB per cell. The calculation puts the mass density at 4.12 g/cm³. The value obtained for the density of states at the Fermi level is 1.1 states/eV/f.u. The calculation puts the energy relative to the elements, uncorrected at -3.099 eV per atom.

Cell: 5.8597 5.8597 9.2841 Å, 90.00 90.00 120.00°
Last column: nearest neighbours and their distance in Å.
Fractional positions:
Na 0.0000 0.0000 0.0000  6 F 2.39
Na 0.0000 0.0000 0.5000  6 F 2.39
Ce 0.3333 0.6667 0.2500  6 F 2.33
Ce 0.6667 0.3333 0.7500  6 F 2.33
Zn 0.6667 0.3333 0.2500  6 F 2.08
Zn 0.3333 0.6667 0.7500  6 F 2.08
F 0.6661 0.6343 0.1320  1 Zn 2.08, 1 Ce 2.33
F 0.9681 0.3339 0.1320  1 Zn 2.08, 1 Ce 2.33
F 0.3339 0.9681 0.6320  1 Zn 2.08, 1 Ce 2.33
F 0.0319 0.6661 0.8680  1 Zn 2.08, 1 Ce 2.33
F 0.3657 0.3339 0.3680  1 Zn 2.08, 1 Ce 2.33
F 0.9681 0.6343 0.3680  1 Zn 2.08, 1 Ce 2.33
F 0.6343 0.9681 0.8680  1 Zn 2.08, 1 Ce 2.33
F 0.6661 0.0319 0.3680  1 Zn 2.08, 1 Ce 2.33
F 0.0319 0.3657 0.6320  1 Zn 2.08, 1 Ce 2.33
F 0.3657 0.0319 0.1320  1 Zn 2.08, 1 Ce 2.33
F 0.6343 0.6661 0.6320  1 Zn 2.08, 1 Ce 2.33
F 0.3339 0.3657 0.8680  1 Zn 2.08, 1 Ce 2.33

***

Below is a relaxed structure of SrAl2Cu, with properties calculated at the PBE level.

Values from the calculation:
The crystal system is monoclinic. For the magnetic moment, the calculation gives 0.00 μB per cell. The value obtained for the formation energy is 118 kJ/mol of formula units. The calculation puts the mass density at 3.98 g/cm³. The value obtained for the density of states at the Fermi level is 2.0 states/eV/f.u.

Cell: 5.9401 5.9401 3.0536 Å, 80.12 80.12 121.83°
Last column: nearest neighbours and their distance in Å.
Fractional positions:
Sr 0.0000 0.5000 0.5000  2 Cu 2.89, 2 Sr 3.05, 4 Al 3.10
Al 0.0000 0.0000 0.0000  4 Al 2.89-3.05, 2 Cu 3.10, 2 Sr 3.10
Al 0.5000 0.5000 0.0000  4 Al 2.89-3.05, 2 Sr 3.10, 2 Cu 3.10
Cu 0.5000 0.0000 0.5000  2 Sr 2.89, 2 Cu 3.05, 4 Al 3.10

***

Below is a relaxed structure of SrIrIO2, with properties calculated at the PBE level.

Values from the calculation:
The crystal system is tetragonal. For the magnetic moment, the calculation gives 1.52 μB per cell. For the distance to the lowest polymorph of the same formula, the calculation gives 0.0 meV/atom. The calculation puts the mass density at 7.46 g/cm³. The value obtained for the density of states at the Fermi level is 2.5 states/eV/f.u. The calculation puts the energy relative to the elements, uncorrected at -0.563 eV per atom.

Cell: 4.2790 4.2790 5.3367 Å, 90.00 90.00 90.00°
Last column: nearest neighbours and their distance in Å.
Fractional positions:
I 0.0000 0.0000 0.5000  2 Ir 2.67
Sr 0.5000 0.5000 0.5000  4 I 3.03
Ir 0.0000 0.0000 0.0000  4 O 2.14
O 0.0000 0.5000 0.0000  2 Ir 2.14
O 0.5000 0.0000 0.0000  2 Ir 2.14

***

Below is a relaxed structure of Tc2Au, with properties calculated at the PBE level.

Values from the calculation:
The crystal system is orthorhombic. For the magnetic moment, the calculation gives 0.00 μB per cell. For the distance to the lowest polymorph of the same formula, the calculation gives 114.8 meV/atom. The value obtained for the formation energy is 70 kJ/mol of formula units. The calculation puts the mass density at 14.02 g/cm³. The value obtained for the density of states at the Fermi level is 2.9 states/eV/f.u.

Cell: 4.8774 4.8774 4.8774 Å, 146.80 132.33 59.32°
Last column: nearest neighbours and their distance in Å.
Fractional positions:
Tc 0.6757 0.6757 0.0000  7 Tc 2.72-2.98, 5 Au 2.75-2.84
Tc 0.3243 0.3243 0.0000  7 Tc 2.72-2.98, 5 Au 2.75-2.84
Au 0.0000 0.0000 0.0000  10 Tc 2.75-2.84, 2 Au 2.79

***

Below is a relaxed structure of FeSiNi2, with properties calculated at the PBE level.

Values from the calculation:
The crystal system is tetragonal. For the magnetic moment, the calculation gives 2.43 μB per cell. The calculation puts the mass density at 7.57 g/cm³. The value obtained for the density of states at the Fermi level is 2.5 states/eV/f.u. The calculation puts the energy relative to the elements, uncorrected at -0.238 eV per atom.

Cell: 2.6842 2.6842 6.1309 Å, 90.00 90.00 90.00°
Last column: nearest neighbours and their distance in Å.
Fractional positions:
Fe 0.5000 0.5000 0.7391  4 Si 2.42, 4 Ni 2.45, 4 Fe 2.68
Ni 0.0000 0.0000 0.9929  4 Fe 2.45, 8 Ni 2.56-2.68
Ni 0.5000 0.5000 0.2729  4 Si 2.34, 4 Ni 2.56
Si 0.0000 0.0000 0.4950  4 Ni 2.34, 4 Fe 2.42